10
Lattice="5.0337 -5.0560 0.0000 5.0337 5.0560 0.0000 -5.0173 0.0000 5.0474" Properties=species:S:1:pos:R:3 comment="Tl2CoHgCl6, optimized geometry, DFT PBE-GGA" energy_ev_per_fu=-30.0 dos_ef_per_ev_cell=9.19 pbc="T T T"
Tl 5.0337 2.5306 0.0000
Tl 5.0337 -2.5306 0.0000
Co -2.5086 0.0000 2.5237
Hg 2.5250 0.0000 2.5237
Cl -0.2016 0.0000 2.5150
Cl -2.5091 0.0000 4.8284
Cl 2.5250 2.7548 2.5237
Cl 2.5250 -2.7548 2.5237
Cl 7.5591 0.0000 0.2189
Cl 5.2516 0.0000 2.5323